This record from Alexandria describes Ac2La4Nd5 after structural relaxation. The functional is PBE-GGA.

## Properties
The calculation puts the theoretical density at 6.87 g/cm3. The value obtained for the energy above the most stable polymorph in this dataset is 0.000 eV/atom. The total magnetization comes out at 0.0 μB per formula unit.

Cell: 5.981 6.914 20.222 Å, 90.00 90.00 90.00°
Fractional positions:
Ac (0.500, 0.890, 0.698)
Ac (0.500, 0.110, 0.302)
Ac (0.500, 0.610, 0.198)
Ac (0.500, 0.390, 0.802)
La (0.500, 0.289, 0.985)
La (0.500, 0.711, 0.015)
La (0.500, 0.211, 0.485)
La (0.500, 0.789, 0.515)
La (0.500, 0.393, 0.626)
La (0.500, 0.607, 0.374)
La (0.500, 0.107, 0.126)
La (0.500, 0.893, 0.874)
Nd (0.000, 0.040, 0.594)
Nd (0.000, 0.960, 0.406)
Nd (0.000, 0.460, 0.094)
Nd (0.000, 0.540, 0.906)
Nd (0.000, 0.067, 0.794)
Nd (0.000, 0.933, 0.206)
Nd (0.000, 0.433, 0.294)
Nd (0.000, 0.567, 0.706)
Nd (0.000, 0.000, 0.000)
Nd (0.000, 0.500, 0.500)



This record from Alexandria describes Ac4La3Nd3 after structural relaxation. The functional is PBE-GGA.

## Properties
The calculation puts the theoretical density at 7.15 g/cm3. As for the total energy: -4.40 eV per atom. The total magnetization comes out at 0.0 μB per formula unit.

Cell: 4.068 10.019 10.019 Å, 89.76 90.00 90.00°
Fractional positions:
Ac (0.000, 0.633, 0.367)
Ac (0.000, 0.366, 0.634)
Ac (0.000, 0.865, 0.865)
Ac (0.000, 0.135, 0.135)
La (0.000, 0.503, 0.001)
La (0.000, 0.999, 0.497)
La (0.500, 0.164, 0.836)
Nd (0.500, 0.835, 0.165)
Nd (0.500, 0.335, 0.335)
Nd (0.500, 0.665, 0.665)